Density functional theory data (GGA-PBE) for HfCd2Au after structural relaxation.

The structure in extended XYZ format:
```
4
Lattice="-0.150 -0.708 -2.942 1.956 -1.990 -1.181 -6.264 -9.013 0.927" Properties=species:S:1:pos:R:3 pbc="T T T"
Cd -0.088 -4.936 -3.488
Cd -4.370 -6.775 0.292
Au -2.229 -5.855 -1.598
Hf 0.000 0.000 0.000
```

Summary:
D(E_F) ... 2.39 states/eV/cell
E_tot ... -0.261 Ry/atom
Energy of formation ... 0.86 eV per formula unit
Energy above the most stable polymorph in this dataset ... 330.8 meV per atom

***

Density functional theory data (GGA-PBE) for Hf2CdAu after structural relaxation.

The structure in extended XYZ format:
```
4
Lattice="-3.254 -1.398 2.370 2.789 -1.276 3.076 -0.300 3.900 1.890" Properties=species:S:1:pos:R:3 pbc="T T T"
Hf 1.395 -0.638 1.538
Hf -0.150 1.950 0.945
Cd -1.627 -0.699 1.185
Au -0.382 0.613 3.668
```

Summary:
D(E_F) ... 3.83 states/eV/cell
E_tot ... -0.457 Ry/atom
Energy of formation ... -0.77 eV per formula unit